The following is a GGA-PBE calculation of a relaxed Li2MoCl crystal, from Alexandria via LeMat-Bulk.

For the formation energy (no corrections), the calculation gives 0.35 eV/atom. For the distance to the lowest polymorph of the same formula, the calculation gives 587.4 meV/atom.

The structure belongs to space group Pmmm (No. 47); the cell edges are 2.8963, 4.5137 and 4.5844 Å and the angles 90.00°, 90.00° and 90.00°. The distinct sites, in fractional coordinates, are Li at (0.0000, 0.0000, 0.0000), Li at (0.5000, 0.5000, 0.0000), Mo at (0.0000, 0.5000, 0.5000) and Cl at (0.5000, 0.0000, 0.5000).